No. 1
DFT (PBE) results for a geometry-optimized NdGeW structure.

Summary:
Density of states at the Fermi level = 9.98 states/eV/cell
Calculated total energy = -7.09 eV per atom
Energy of formation from the pure elements = 360 meV/atom
Crystal system = orthorhombic
Space group = Amm2
Spin magnetization = 0.00 μB/cell

a b c (Å): 13.7733 3.6096 4.9986
angles (deg): 90.00 90.00 90.00
Closest atoms and distances in Å follow each position.
Fractional coordinates of all 12 atoms:
Nd 0.1842 0.0000 0.0000  2 W 3.08, 4 Nd 3.08, 2 Ge 3.11
Nd 0.1842 0.5000 0.5000  2 W 3.08, 4 Nd 3.08, 2 Ge 3.11
Nd 0.8158 0.0000 0.0000  2 W 3.08, 4 Nd 3.08, 2 Ge 3.11
Nd 0.8158 0.5000 0.5000  2 W 3.08, 4 Nd 3.08, 2 Ge 3.11
Ge 0.0000 0.0000 0.4914  4 Ge 3.08, 4 Nd 3.11
Ge 0.0000 0.5000 0.9914  4 Ge 3.08, 4 Nd 3.11
Ge 0.5000 0.0000 0.9418  6 W 2.61-2.90
Ge 0.5000 0.5000 0.4418  6 W 2.61-2.90
W 0.3650 0.0000 0.4960  3 Ge 2.61-2.90
W 0.3650 0.5000 0.9960  3 Ge 2.61-2.90
W 0.6350 0.0000 0.4960  3 Ge 2.61-2.90
W 0.6350 0.5000 0.9960  3 Ge 2.61-2.90

No. 2
DFT (PBE) results for a geometry-optimized Nd5YGe4 structure.

Summary:
Density of states at the Fermi level = 5.83 states/eV/cell
Calculated total energy = -5.50 eV per atom
Energy of formation from the pure elements = -622 meV/atom
Crystal system = monoclinic
Space group = C2/m
Spin magnetization = 0.00 μB/cell

a b c (Å): 8.3223 8.3223 7.0298
angles (deg): 90.78 90.78 35.70
Closest atoms and distances in Å follow each position.
Fractional coordinates of all 10 atoms:
Nd 0.0000 0.0000 0.0000  6 Ge 3.13-3.33
Nd 0.3344 0.3344 0.4929  5 Ge 3.02-3.24
Nd 0.3356 0.3356 0.0038  5 Ge 3.08-3.26, 1 Nd 3.44
Nd 0.6644 0.6644 0.9962  5 Ge 3.08-3.26, 1 Nd 3.44
Nd 0.6656 0.6656 0.5071  5 Ge 3.02-3.24
Y 0.0000 0.0000 0.5000  6 Ge 3.07-3.27
Ge 0.1762 0.1762 0.7486  7 Nd 3.07-3.33, 1 Y 3.27
Ge 0.4909 0.4909 0.7422  6 Nd 3.02-3.26, 2 Y 3.07
Ge 0.5091 0.5091 0.2578  6 Nd 3.02-3.26, 2 Y 3.07
Ge 0.8238 0.8238 0.2514  7 Nd 3.07-3.33, 1 Y 3.27

No. 3
DFT (PBE) results for a geometry-optimized NdYGe structure.

Summary:
Density of states at the Fermi level = 14.38 states/eV/cell
Calculated total energy = -5.79 eV per atom
Energy of formation from the pure elements = -507 meV/atom
Crystal system = orthorhombic
Space group = Cmcm
Spin magnetization = 0.00 μB/cell

a b c (Å): 4.1941 20.4094 3.9370
angles (deg): 90.00 90.00 90.00
Closest atoms and distances in Å follow each position.
Fractional coordinates of all 12 atoms:
Nd 0.0000 0.1946 0.2500  1 Ge 3.07
Nd 0.0000 0.8054 0.7500  1 Ge 3.07
Nd 0.5000 0.3054 0.7500  1 Ge 3.07
Nd 0.5000 0.6946 0.2500  1 Ge 3.07
Y 0.0000 0.4237 0.2500  6 Ge 2.95-3.23
Y 0.0000 0.5763 0.7500  6 Ge 2.95-3.23
Y 0.5000 0.0763 0.7500  6 Ge 2.95-3.23
Y 0.5000 0.9237 0.2500  6 Ge 2.95-3.23
Ge 0.0000 0.0444 0.2500  2 Ge 2.67, 4 Y 2.95
Ge 0.0000 0.9556 0.7500  2 Ge 2.67, 4 Y 2.95
Ge 0.5000 0.4556 0.7500  2 Ge 2.67, 4 Y 2.95
Ge 0.5000 0.5444 0.2500  2 Ge 2.67, 4 Y 2.95

No. 4
DFT (PBE) results for a geometry-optimized Nd3Y3Ge4 structure.

Summary:
Density of states at the Fermi level = 7.89 states/eV/cell
Calculated total energy = -5.95 eV per atom
Energy of formation from the pure elements = -732 meV/atom
Crystal system = orthorhombic
Space group = Amm2
Spin magnetization = 0.00 μB/cell

a b c (Å): 4.1644 7.8828 7.8828
angles (deg): 92.17 90.00 90.00
Closest atoms and distances in Å follow each position.
Fractional coordinates of all 10 atoms:
Nd 0.0000 0.0000 0.0000  6 Ge 3.13-3.19
Nd 0.5000 0.1699 0.6728  4 Ge 3.03-3.18
Nd 0.5000 0.6728 0.1699  4 Ge 3.03-3.18
Y 0.0000 0.3418 0.3418  6 Ge 3.05-3.15
Y 0.0000 0.4995 0.8384  6 Ge 3.08-3.14
Y 0.0000 0.8384 0.4995  6 Ge 3.08-3.14
Ge 0.5000 0.0433 0.3056  1 Ge 2.98, 4 Nd 3.03-3.19, 4 Y 3.08-3.15
Ge 0.5000 0.3056 0.0433  1 Ge 2.98, 4 Nd 3.03-3.19, 4 Y 3.08-3.15
Ge 0.5000 0.5460 0.5460  1 Ge 2.63
Ge 0.5000 0.7868 0.7868  1 Ge 2.63

No. 5
DFT (PBE) results for a geometry-optimized Nd2YGe2 structure.

Summary:
Density of states at the Fermi level = 9.38 states/eV/cell
Calculated total energy = -5.84 eV per atom
Energy of formation from the pure elements = -791 meV/atom
Crystal system = tetragonal
Space group = P4/mbm
Spin magnetization = 0.00 μB/cell

a b c (Å): 7.7271 7.7271 4.4186
angles (deg): 90.00 90.00 90.00
Closest atoms and distances in Å follow each position.
Fractional coordinates of all 10 atoms:
Nd 0.1743 0.3257 0.0000  6 Ge 3.13-3.21
Nd 0.3257 0.8257 0.0000  6 Ge 3.13-3.21
Nd 0.6743 0.1743 0.0000  6 Ge 3.13-3.21
Nd 0.8257 0.6743 0.0000  6 Ge 3.13-3.21
Y 0.0000 0.0000 0.5000  4 Ge 3.07
Y 0.5000 0.5000 0.5000  4 Ge 3.07
Ge 0.1223 0.6223 0.5000  1 Ge 2.67
Ge 0.3777 0.1223 0.5000  1 Ge 2.67
Ge 0.6223 0.8777 0.5000  1 Ge 2.67
Ge 0.8777 0.3777 0.5000  1 Ge 2.67

No. 6
DFT (PBE) results for a geometry-optimized NdYGe structure.

Summary:
Density of states at the Fermi level = 14.08 states/eV/cell
Calculated total energy = -5.87 eV per atom
Energy of formation from the pure elements = -585 meV/atom
Crystal system = monoclinic
Space group = C2/m
Spin magnetization = 0.11 μB/cell

a b c (Å): 11.7277 4.3066 8.3830
angles (deg): 90.00 127.05 90.00
Closest atoms and distances in Å follow each position.
Fractional coordinates of all 12 atoms:
Nd 0.0861 0.0000 0.3626  5 Ge 3.16-3.51
Nd 0.4139 0.5000 0.6374  5 Ge 3.16-3.51
Nd 0.5861 0.5000 0.3626  5 Ge 3.16-3.51
Nd 0.9139 0.0000 0.6374  5 Ge 3.16-3.51
Y 0.1751 0.5000 0.0764  3 Ge 2.93-3.11
Y 0.3249 0.0000 0.9236  3 Ge 2.93-3.11
Y 0.6751 0.0000 0.0764  3 Ge 2.93-3.11
Y 0.8249 0.5000 0.9236  3 Ge 2.93-3.11
Ge 0.1289 0.5000 0.6696  1 Ge 2.62, 2 Y 2.93
Ge 0.3711 0.0000 0.3304  1 Ge 2.62, 2 Y 2.93
Ge 0.6289 0.0000 0.6696  1 Ge 2.62, 2 Y 2.93
Ge 0.8711 0.5000 0.3304  1 Ge 2.62, 2 Y 2.93

No. 7
DFT (PBE) results for a geometry-optimized NdYGe structure.

Summary:
Density of states at the Fermi level = 10.46 states/eV/cell
Calculated total energy = -5.83 eV per atom
Energy of formation from the pure elements = -549 meV/atom
Crystal system = cubic
Space group = F-43m
Spin magnetization = 0.00 μB/cell

a b c (Å): 7.0502 7.0502 7.0502
angles (deg): 90.00 90.00 90.00
Closest atoms and distances in Å follow each position.
Fractional coordinates of all 12 atoms:
Nd 0.0000 0.0000 0.0000  4 Ge 3.05
Nd 0.0000 0.5000 0.5000  4 Ge 3.05
Nd 0.5000 0.0000 0.5000  4 Ge 3.05
Nd 0.5000 0.5000 0.0000  4 Ge 3.05
Y 0.0000 0.0000 0.5000  4 Ge 3.05
Y 0.0000 0.5000 0.0000  4 Ge 3.05
Y 0.5000 0.0000 0.0000  4 Ge 3.05
Y 0.5000 0.5000 0.5000  4 Ge 3.05
Ge 0.2500 0.2500 0.7500  4 Nd 3.05, 4 Y 3.05
Ge 0.2500 0.7500 0.2500  4 Nd 3.05, 4 Y 3.05
Ge 0.7500 0.2500 0.2500  4 Nd 3.05, 4 Y 3.05
Ge 0.7500 0.7500 0.7500  4 Nd 3.05, 4 Y 3.05

No. 8
DFT (PBE) results for a geometry-optimized Nd2YGe2 structure.

Summary:
Density of states at the Fermi level = 5.85 states/eV/cell
Calculated total energy = -5.76 eV per atom
Energy of formation from the pure elements = -715 meV/atom
Crystal system = monoclinic
Space group = C2/m
Spin magnetization = 0.00 μB/cell

a b c (Å): 6.6574 6.6574 10.8295
angles (deg): 114.95 114.95 38.97
Closest atoms and distances in Å follow each position.
Fractional coordinates of all 10 atoms:
Nd 0.0156 0.0156 0.1873  6 Ge 3.12-3.30
Nd 0.1789 0.1789 0.5881  4 Ge 3.12-3.40
Nd 0.8211 0.8211 0.4119  4 Ge 3.12-3.40
Nd 0.9844 0.9844 0.8127  6 Ge 3.12-3.30
Y 0.2777 0.2777 0.1370  4 Ge 2.87-3.04
Y 0.7223 0.7223 0.8630  4 Ge 2.87-3.04
Ge 0.3839 0.3839 0.9398  1 Ge 2.61, 2 Y 2.87
Ge 0.4823 0.4823 0.6092  1 Ge 2.59
Ge 0.5177 0.5177 0.3908  1 Ge 2.59
Ge 0.6161 0.6161 0.0602  1 Ge 2.61, 2 Y 2.87

No. 9
DFT (PBE) results for a geometry-optimized Nd3YGe4 structure.

Summary:
Density of states at the Fermi level = 15.94 states/eV/cell
Calculated total energy = -5.59 eV per atom
Energy of formation from the pure elements = -690 meV/atom
Crystal system = orthorhombic
Space group = Immm
Spin magnetization = 0.00 μB/cell

a b c (Å): 4.1900 6.4363 16.2270
angles (deg): 90.00 90.00 90.00
Closest atoms and distances in Å follow each position.
Fractional coordinates of all 16 atoms:
Nd 0.0000 0.0000 0.0000  8 Ge 3.22
Nd 0.0000 0.5000 0.1958  6 Ge 3.07-3.09
Nd 0.0000 0.5000 0.8042  6 Ge 3.07-3.09
Nd 0.5000 0.0000 0.3042  6 Ge 3.07-3.09
Nd 0.5000 0.0000 0.6958  6 Ge 3.07-3.09
Nd 0.5000 0.5000 0.5000  8 Ge 3.22
Y 0.0000 0.0000 0.5000  4 Ge 2.89
Y 0.5000 0.5000 0.0000  4 Ge 2.89
Ge 0.0000 0.3072 0.3703  1 Ge 2.48
Ge 0.0000 0.3072 0.6297  1 Ge 2.48
Ge 0.0000 0.6928 0.3703  1 Ge 2.48
Ge 0.0000 0.6928 0.6297  1 Ge 2.48
Ge 0.5000 0.1928 0.1297  1 Ge 2.48
Ge 0.5000 0.1928 0.8703  1 Ge 2.48
Ge 0.5000 0.8072 0.1297  1 Ge 2.48
Ge 0.5000 0.8072 0.8703  1 Ge 2.48

No. 10
DFT (PBE) results for a geometry-optimized NdY2Ge2 structure.

Summary:
Density of states at the Fermi level = 8.20 states/eV/cell
Calculated total energy = -6.00 eV per atom
Energy of formation from the pure elements = -614 meV/atom
Crystal system = monoclinic
Space group = P2_1/m
Spin magnetization = 0.68 μB/cell

a b c (Å): 5.7180 4.5178 10.9169
angles (deg): 90.00 100.13 90.00
Closest atoms and distances in Å follow each position.
Fractional coordinates of all 10 atoms:
Nd 0.0859 0.2500 0.2836  5 Ge 3.07-3.21
Nd 0.9141 0.7500 0.7164  5 Ge 3.07-3.21
Y 0.2449 0.2500 0.9560  4 Ge 2.91-3.03
Y 0.3929 0.2500 0.6252  5 Ge 2.91-3.22
Y 0.6071 0.7500 0.3748  5 Ge 2.91-3.22
Y 0.7551 0.7500 0.0440  4 Ge 2.91-3.03
Ge 0.1705 0.7500 0.4774  4 Y 2.91-3.22, 3 Nd 3.07-3.21, 2 Ge 3.08
Ge 0.2755 0.7500 0.1254  5 Y 2.91-3.03, 2 Nd 3.15
Ge 0.7245 0.2500 0.8746  5 Y 2.91-3.03, 2 Nd 3.15
Ge 0.8295 0.2500 0.5226  4 Y 2.91-3.22, 3 Nd 3.07-3.21, 2 Ge 3.08